Entry 1:
# MgTe PBE-GGA optimized geometry
# Uncorrected energy in eV per atom: -2.33
# DOS(E_F) in states/eV/f.u.: 1.85
# Uncorrected formation energy in eV per atom: 0.04
data_MgTe
_chemical_formula_sum 'Mg4 Te4'
_space_group_name_H-M_alt 'P 63/m m c'
_space_group_IT_number 194
_space_group_name_Hall '-P 6c 2c'
_cell_length_a 5.4818
_cell_length_b 5.4818
_cell_length_c 8.9026
_cell_angle_alpha 90.00
_cell_angle_beta 90.00
_cell_angle_gamma 120.00
loop_
_atom_site_label
_atom_site_type_symbol
_atom_site_fract_x
_atom_site_fract_y
_atom_site_fract_z
Mg1 Mg 0.3333 0.6667 0.0838
Te1 Te 0.0000 0.0000 0.2500
Te2 Te 0.3333 0.6667 0.7500

Entry 2:
# TcOsNO2 PBE-GGA optimized geometry
# Uncorrected energy in eV per atom: -7.54
# DOS(E_F) in states/eV/f.u.: 3.21
# Uncorrected formation energy in eV per atom: 0.43
data_TcOsNO2
_chemical_formula_sum 'Tc1 Os1 N1 O2'
_space_group_name_H-M_alt 'P 4/m m m'
_space_group_IT_number 123
_space_group_name_Hall '-P 4 2'
_cell_length_a 3.9705
_cell_length_b 3.9705
_cell_length_c 3.8162
_cell_angle_alpha 90.00
_cell_angle_beta 90.00
_cell_angle_gamma 90.00
loop_
_atom_site_label
_atom_site_type_symbol
_atom_site_fract_x
_atom_site_fract_y
_atom_site_fract_z
Tc1 Tc 0.0000 0.0000 0.0000
Os1 Os 0.5000 0.5000 0.5000
N1 N 0.5000 0.5000 0.0000
O1 O 0.0000 0.5000 0.5000

Entry 3:
# LaPd2Pt2 PBE-GGA optimized geometry
# Uncorrected energy in eV per atom: -5.99
# DOS(E_F) in states/eV/f.u.: 5.54
# Distance to the lowest polymorph of the same formula in meV/atom: 92
data_LaPd2Pt2
_chemical_formula_sum 'La2 Pd4 Pt4'
_space_group_name_H-M_alt 'P 4/m b m'
_space_group_IT_number 127
_space_group_name_Hall '-P 4 2ab'
_cell_length_a 7.3367
_cell_length_b 7.3367
_cell_length_c 3.5436
_cell_angle_alpha 90.00
_cell_angle_beta 90.00
_cell_angle_gamma 90.00
loop_
_atom_site_label
_atom_site_type_symbol
_atom_site_fract_x
_atom_site_fract_y
_atom_site_fract_z
La1 La 0.0000 0.0000 0.0000
Pd1 Pd 0.1637 0.3363 0.5000
Pt1 Pt 0.1329 0.6329 0.0000

Repeat the third record exactly.
# LaPd2Pt2 PBE-GGA optimized geometry
# Uncorrected energy in eV per atom: -5.99
# DOS(E_F) in states/eV/f.u.: 5.54
# Distance to the lowest polymorph of the same formula in meV/atom: 92
data_LaPd2Pt2
_chemical_formula_sum 'La2 Pd4 Pt4'
_space_group_name_H-M_alt 'P 4/m b m'
_space_group_IT_number 127
_space_group_name_Hall '-P 4 2ab'
_cell_length_a 7.3367
_cell_length_b 7.3367
_cell_length_c 3.5436
_cell_angle_alpha 90.00
_cell_angle_beta 90.00
_cell_angle_gamma 90.00
loop_
_atom_site_label
_atom_site_type_symbol
_atom_site_fract_x
_atom_site_fract_y
_atom_site_fract_z
La1 La 0.0000 0.0000 0.0000
Pd1 Pd 0.1637 0.3363 0.5000
Pt1 Pt 0.1329 0.6329 0.0000

Please write out number 1 again, unchanged.
# MgTe PBE-GGA optimized geometry
# Uncorrected energy in eV per atom: -2.33
# DOS(E_F) in states/eV/f.u.: 1.85
# Uncorrected formation energy in eV per atom: 0.04
data_MgTe
_chemical_formula_sum 'Mg4 Te4'
_space_group_name_H-M_alt 'P 63/m m c'
_space_group_IT_number 194
_space_group_name_Hall '-P 6c 2c'
_cell_length_a 5.4818
_cell_length_b 5.4818
_cell_length_c 8.9026
_cell_angle_alpha 90.00
_cell_angle_beta 90.00
_cell_angle_gamma 120.00
loop_
_atom_site_label
_atom_site_type_symbol
_atom_site_fract_x
_atom_site_fract_y
_atom_site_fract_z
Mg1 Mg 0.3333 0.6667 0.0838
Te1 Te 0.0000 0.0000 0.2500
Te2 Te 0.3333 0.6667 0.7500

Look up the uncorrected energy of the third one. -5.99 eV per atom

Look up the uncorrected energy of the first one. -2.33 eV per atom